No. 1
PBEsol TbHg3, relaxed; space-group type = P6_3/mmc; electronic total energy = -2.148 eV per atom
1.0
-1.377 -4.207 2.045
2.627 -3.287 -4.994
3.612 1.376 5.264
Tb Hg
2 6
direct
0.750 0.667 0.333
0.250 0.333 0.667
0.250 0.330 0.165
0.250 0.835 0.165
0.250 0.835 0.670
0.750 0.670 0.835
0.750 0.165 0.835
0.750 0.165 0.330

---

No. 2
PBEsol CsTlSe3, relaxed; formation energy from raw total energies = 0.7137 eV/atom; space-group type = Pm-3m
1.0
-2.388 -5.216 0.484
5.159 -2.250 1.208
-0.906 0.935 5.608
Cs Tl Se
1 1 3
direct
0.000 0.000 0.000
0.500 0.500 0.500
0.000 0.500 0.000
0.000 0.000 0.500
0.500 0.000 0.000

---

no.,magnetization (μB per formula unit)
1,0.00
2,0.00